Record 1
Computed, not measured: In3SiRu after structural relaxation at the GGA-PBE level of DFT.

Unit cell a=5.1291 b=5.1291 c=5.1291 alpha=90.00 beta=90.00 gamma=90.00
With the nearest neighbours (Å) after each atom.
Fractional positions:
In 0.0000 0.0000 0.5000  2 Ru 2.56
In 0.0000 0.5000 0.0000  2 Ru 2.56
In 0.5000 0.0000 0.0000  2 Ru 2.56
Si 0.5000 0.5000 0.5000  12 In 3.63
Ru 0.0000 0.0000 0.0000  6 In 2.56

Summary:
crystal system = cubic
formation energy from raw total energies = 573 meV per atom
total magnetization = 1.3 μB per cell
DOS(E_F) = 0.8438 states/eV/atom



Record 2
Computed, not measured: CaTeAu2 after structural relaxation at the GGA-PBE level of DFT.

Unit cell a=5.6756 b=5.6756 c=5.6756 alpha=134.38 beta=134.38 gamma=66.50
With the nearest neighbours (Å) after each atom.
Fractional positions:
Ca 0.0000 0.0000 0.0000  4 Te 3.11, 8 Au 3.24
Te 0.5000 0.5000 0.0000  4 Ca 3.11, 8 Au 3.24
Au 0.2500 0.7500 0.5000  4 Au 3.11, 4 Te 3.24, 4 Ca 3.24
Au 0.7500 0.2500 0.5000  4 Au 3.11, 4 Te 3.24, 4 Ca 3.24

Summary:
crystal system = tetragonal
formation energy from raw total energies = -550 meV per atom
total magnetization = 0.0 μB per cell
DOS(E_F) = 0.3254 states/eV/atom



Record 3
Computed, not measured: NdGa2Ni2Ir after structural relaxation at the GGA-PBE level of DFT.

Unit cell a=4.6970 b=4.6970 c=5.3970 alpha=90.00 beta=90.00 gamma=90.00
With the nearest neighbours (Å) after each atom.
Fractional positions:
Nd 0.0000 0.0000 0.0000  2 Ir 2.70
Ga 0.0000 0.5000 0.5000  2 Ir 2.35
Ga 0.5000 0.0000 0.5000  2 Ir 2.35
Ni 0.5000 0.5000 0.2490  2 Ni 2.69-2.71, 4 Ga 2.71
Ni 0.5000 0.5000 0.7510  2 Ni 2.69-2.71, 4 Ga 2.71
Ir 0.0000 0.0000 0.5000  4 Ga 2.35

Summary:
E_tot = -0.194 Ha/atom
crystal system = tetragonal
total magnetization = 0.0 μB per cell
DOS(E_F) = 0.5360 states/eV/atom



Record 4
Computed, not measured: Co2Pd2Pt5 after structural relaxation at the GGA-PBE level of DFT.

Unit cell a=4.7704 b=4.7720 c=7.2628 alpha=109.17 beta=90.07 gamma=119.82
With the nearest neighbours (Å) after each atom.
Fractional positions:
Co 0.1075 0.3956 0.3416  1 Co 2.62, 9 Pt 2.67-2.80, 2 Pd 2.78-2.80
Co 0.8925 0.6044 0.6584  1 Co 2.62, 9 Pt 2.67-2.80, 2 Pd 2.78-2.80
Pd 0.3280 0.1641 0.0007  3 Pd 2.71-2.79, 7 Pt 2.74-2.79, 2 Co 2.78-2.80
Pd 0.6720 0.8359 0.9993  3 Pd 2.71-2.79, 7 Pt 2.74-2.79, 2 Co 2.78-2.80
Pt 0.0000 0.5000 0.0000  6 Pd 2.74-2.78, 4 Pt 2.75-2.79, 2 Co 2.78
Pt 0.2168 0.2813 0.6633  4 Co 2.67-2.80, 6 Pt 2.72-2.79, 2 Pd 2.78-2.79
Pt 0.4526 0.0636 0.3381  4 Co 2.67-2.79, 6 Pt 2.70-2.79, 2 Pd 2.76-2.78
Pt 0.5474 0.9364 0.6619  4 Co 2.67-2.79, 6 Pt 2.70-2.79, 2 Pd 2.76-2.78
Pt 0.7832 0.7187 0.3367  4 Co 2.67-2.80, 6 Pt 2.72-2.79, 2 Pd 2.78-2.79

Summary:
E_tot = -0.225 Ha/atom
crystal system = triclinic
total magnetization = 6.4 μB per cell
DOS(E_F) = 1.2345 states/eV/atom



Record 5
Computed, not measured: Sr2ZrSc after structural relaxation at the GGA-PBE level of DFT.

Unit cell a=3.4519 b=5.9800 c=6.5701 alpha=90.00 beta=98.74 gamma=90.00
With the nearest neighbours (Å) after each atom.
Fractional positions:
Sr 0.2405 0.0000 0.2464  4 Sr 3.41-3.54, 2 Zr 3.58, 2 Sc 3.58
Sr 0.7595 0.0000 0.7536  4 Sr 3.41-3.54, 2 Zr 3.58, 2 Sc 3.58
Zr 0.5000 0.5000 0.0000  2 Zr 3.45, 2 Sc 3.47, 4 Sr 3.58
Sc 0.0000 0.5000 0.5000  2 Sc 3.45, 2 Zr 3.47, 4 Sr 3.58

Summary:
E_tot = -0.147 Ha/atom
crystal system = monoclinic
total magnetization = 1.9 μB per cell
DOS(E_F) = 1.4631 states/eV/atom



Record 6
Computed, not measured: RbCa3Zr after structural relaxation at the GGA-PBE level of DFT.

Unit cell a=5.7204 b=5.7204 c=5.7204 alpha=90.00 beta=90.00 gamma=90.00
With the nearest neighbours (Å) after each atom.
Fractional positions:
Rb 0.0000 0.0000 0.0000  6 Ca 2.86
Ca 0.0000 0.0000 0.5000  2 Rb 2.86
Ca 0.0000 0.5000 0.0000  2 Rb 2.86
Ca 0.5000 0.0000 0.0000  2 Rb 2.86
Zr 0.5000 0.5000 0.5000  12 Ca 4.04

Summary:
E_tot = -0.064 Ha/atom
crystal system = cubic
total magnetization = 0.9 μB per cell
DOS(E_F) = 2.4007 states/eV/atom